The following is a DFT calculation (GGA+U) of crystalline GeW2F at its relaxed geometry.

a = 6.715 Å, b = 6.715 Å, c = 5.943 Å
α = 90.00°, β = 90.00°, γ = 90.00°
Space group I-42d (No. 122)
Unique sites:
Ge (0.000, 0.000, 0.000)
W (0.186, 0.750, 0.625)
F (0.000, 0.000, 0.500)

Output
energy above the most stable polymorph in this dataset = 0.00 eV per formula unit